A | Si4Mo | GGA-PBE | relaxed

Results
* V: 17.74 Å³/atom
* DOS(E_F): 0.811 states/eV per atom

The structure in CIF format:
```
data_Si4Mo
_space_group_name_H-M_alt 'I m -3 m'
_space_group_IT_number 229
_space_group_name_Hall '-I 4 2 3'
_cell_length_a 5.619
_cell_length_b 5.619
_cell_length_c 5.619
_cell_angle_alpha 90.00
_cell_angle_beta 90.00
_cell_angle_gamma 90.00
loop_
_atom_site_label
_atom_site_type_symbol
_atom_site_fract_x
_atom_site_fract_y
_atom_site_fract_z
Si1 Si 0.250 0.250 0.250
Mo1 Mo 0.000 0.000 0.000
```

B | Si4Mo | GGA-PBE | relaxed

Results
* V: 21.26 Å³/atom
* DOS(E_F): 0.983 states/eV per atom

The structure in CIF format:
```
data_Si4Mo
_space_group_name_H-M_alt 'P m -3 m'
_space_group_IT_number 221
_space_group_name_Hall '-P 4 2 3'
_cell_length_a 4.737
_cell_length_b 4.737
_cell_length_c 4.737
_cell_angle_alpha 90.00
_cell_angle_beta 90.00
_cell_angle_gamma 90.00
loop_
_atom_site_label
_atom_site_type_symbol
_atom_site_fract_x
_atom_site_fract_y
_atom_site_fract_z
Si1 Si 0.000 0.000 0.000
Si2 Si 0.000 0.500 0.500
Mo1 Mo 0.500 0.500 0.500
```

Relative energy table, unit meV/atom: A 0; B 591

A | Si2SnMo2 | GGA-PBE | relaxed

Results
* V: 16.41 Å³/atom
* DOS(E_F): 0.847 states/eV per atom

The structure in CIF format:
```
data_Si2SnMo2
_space_group_name_H-M_alt 'I 4/m m m'
_space_group_IT_number 139
_space_group_name_Hall '-I 4 2'
_cell_length_a 3.474
_cell_length_b 3.474
_cell_length_c 13.596
_cell_angle_alpha 90.00
_cell_angle_beta 90.00
_cell_angle_gamma 90.00
loop_
_atom_site_label
_atom_site_type_symbol
_atom_site_fract_x
_atom_site_fract_y
_atom_site_fract_z
Si1 Si 0.000 0.500 0.250
Sn1 Sn 0.000 0.000 0.000
Mo1 Mo 0.000 0.000 0.387
```

B | Si2SnMo2 | GGA-PBE | relaxed

Results
* V: 15.97 Å³/atom
* DOS(E_F): 0.570 states/eV per atom

The structure in CIF format:
```
data_Si2SnMo2
_space_group_name_H-M_alt 'P 4/m b m'
_space_group_IT_number 127
_space_group_name_Hall '-P 4 2ab'
_cell_length_a 7.086
_cell_length_b 7.086
_cell_length_c 3.180
_cell_angle_alpha 90.00
_cell_angle_beta 90.00
_cell_angle_gamma 90.00
loop_
_atom_site_label
_atom_site_type_symbol
_atom_site_fract_x
_atom_site_fract_y
_atom_site_fract_z
Si1 Si 0.126 0.374 0.000
Sn1 Sn 0.000 0.000 0.000
Mo1 Mo 0.162 0.662 0.500
```

C | Si2SnMo2 | GGA-PBE | relaxed

Results
* V: 16.43 Å³/atom
* DOS(E_F): 0.559 states/eV per atom

The structure in CIF format:
```
data_Si2SnMo2
_space_group_name_H-M_alt 'P 4/m b m'
_space_group_IT_number 127
_space_group_name_Hall '-P 4 2ab'
_cell_length_a 7.158
_cell_length_b 7.158
_cell_length_c 3.207
_cell_angle_alpha 90.00
_cell_angle_beta 90.00
_cell_angle_gamma 90.00
loop_
_atom_site_label
_atom_site_type_symbol
_atom_site_fract_x
_atom_site_fract_y
_atom_site_fract_z
Si1 Si 0.137 0.363 0.000
Sn1 Sn 0.000 0.000 0.500
Mo1 Mo 0.150 0.650 0.500
```

Relative energy table, unit meV/atom: A 0; B 230; C 160

A | SrSi3Mo | GGA-PBE | relaxed

Results
* V: 22.04 Å³/atom
* DOS(E_F): 0.480 states/eV per atom

The structure in CIF format:
```
data_SrSi3Mo
_space_group_name_H-M_alt 'P m -3 m'
_space_group_IT_number 221
_space_group_name_Hall '-P 4 2 3'
_cell_length_a 4.794
_cell_length_b 4.794
_cell_length_c 4.794
_cell_angle_alpha 90.00
_cell_angle_beta 90.00
_cell_angle_gamma 90.00
loop_
_atom_site_label
_atom_site_type_symbol
_atom_site_fract_x
_atom_site_fract_y
_atom_site_fract_z
Sr1 Sr 0.000 0.000 0.000
Si1 Si 0.000 0.500 0.500
Mo1 Mo 0.500 0.500 0.500
```

B | SrSi3Mo | GGA-PBE | relaxed

Results
* V: 25.78 Å³/atom
* DOS(E_F): 1.796 states/eV per atom

The structure in CIF format:
```
data_SrSi3Mo
_space_group_name_H-M_alt 'P m -3 m'
_space_group_IT_number 221
_space_group_name_Hall '-P 4 2 3'
_cell_length_a 5.052
_cell_length_b 5.052
_cell_length_c 5.052
_cell_angle_alpha 90.00
_cell_angle_beta 90.00
_cell_angle_gamma 90.00
loop_
_atom_site_label
_atom_site_type_symbol
_atom_site_fract_x
_atom_site_fract_y
_atom_site_fract_z
Sr1 Sr 0.000 0.000 0.000
Si1 Si 0.000 0.000 0.500
Mo1 Mo 0.500 0.500 0.500
```

Relative energy table, unit meV/atom: A 0; B 2520

A | TaSi3Mo | GGA-PBE | relaxed

Results
* V: 22.37 Å³/atom
* DOS(E_F): 0.756 states/eV per atom

The structure in CIF format:
```
data_TaSi3Mo
_space_group_name_H-M_alt 'P m -3 m'
_space_group_IT_number 221
_space_group_name_Hall '-P 4 2 3'
_cell_length_a 4.818
_cell_length_b 4.818
_cell_length_c 4.818
_cell_angle_alpha 90.00
_cell_angle_beta 90.00
_cell_angle_gamma 90.00
loop_
_atom_site_label
_atom_site_type_symbol
_atom_site_fract_x
_atom_site_fract_y
_atom_site_fract_z
Ta1 Ta 0.000 0.000 0.000
Si1 Si 0.000 0.000 0.500
Mo1 Mo 0.500 0.500 0.500
```

B | TaSi3Mo | GGA-PBE | relaxed

Results
* V: 19.46 Å³/atom
* DOS(E_F): 1.799 states/eV per atom

The structure in CIF format:
```
data_TaSi3Mo
_space_group_name_H-M_alt 'P m -3 m'
_space_group_IT_number 221
_space_group_name_Hall '-P 4 2 3'
_cell_length_a 4.600
_cell_length_b 4.600
_cell_length_c 4.600
_cell_angle_alpha 90.00
_cell_angle_beta 90.00
_cell_angle_gamma 90.00
loop_
_atom_site_label
_atom_site_type_symbol
_atom_site_fract_x
_atom_site_fract_y
_atom_site_fract_z
Ta1 Ta 0.000 0.000 0.000
Si1 Si 0.000 0.500 0.500
Mo1 Mo 0.500 0.500 0.500
```

Relative energy table, unit meV/atom: A 105; B 0

A | Si4TcMo | GGA-PBE | relaxed

Results
* V: 13.37 Å³/atom
* DOS(E_F): 0.306 states/eV per atom

The structure in CIF format:
```
data_Si4TcMo
_space_group_name_H-M_alt 'C 1 2/m 1'
_space_group_IT_number 12
_cell_length_a 8.477
_cell_length_b 3.202
_cell_length_c 6.373
_cell_angle_alpha 90.00
_cell_angle_beta 112.01
_cell_angle_gamma 90.00
loop_
_space_group_symop_operation_xyz
'x,y,z'
'-x,-y,-z'
'-x,y,-z'
'x,-y,z'
'x+1/2,y+1/2,z'
'-x+1/2,-y+1/2,-z'
'-x+1/2,y+1/2,-z'
'x+1/2,-y+1/2,z'
loop_
_atom_site_label
_atom_site_type_symbol
_atom_site_fract_x
_atom_site_fract_y
_atom_site_fract_z
Si1 Si 0.166 0.000 0.334
Si2 Si 0.167 0.000 0.833
Tc1 Tc 0.000 0.500 0.500
Mo1 Mo 0.000 0.500 0.000
```

B | Si4TcMo | GGA-PBE | relaxed

Results
* V: 13.15 Å³/atom
* DOS(E_F): 0.859 states/eV per atom

The structure in CIF format:
```
data_Si4TcMo
_space_group_name_H-M_alt 'F -4 3 m'
_space_group_IT_number 216
_space_group_name_Hall 'F -4 2 3'
_cell_length_a 6.809
_cell_length_b 6.809
_cell_length_c 6.809
_cell_angle_alpha 90.00
_cell_angle_beta 90.00
_cell_angle_gamma 90.00
loop_
_atom_site_label
_atom_site_type_symbol
_atom_site_fract_x
_atom_site_fract_y
_atom_site_fract_z
Si1 Si 0.125 0.125 0.125
Tc1 Tc 0.250 0.250 0.750
Mo1 Mo 0.000 0.000 0.500
```

Relative energy table, unit meV/atom: A 0; B 842

A | SiTc2Mo2 | GGA-PBE | relaxed

Results
* V: 17.46 Å³/atom
* DOS(E_F): 0.782 states/eV per atom

The structure in CIF format:
```
data_SiTc2Mo2
_space_group_name_H-M_alt 'I 4/m m m'
_space_group_IT_number 139
_space_group_name_Hall '-I 4 2'
_cell_length_a 3.856
_cell_length_b 3.856
_cell_length_c 11.739
_cell_angle_alpha 90.00
_cell_angle_beta 90.00
_cell_angle_gamma 90.00
loop_
_atom_site_label
_atom_site_type_symbol
_atom_site_fract_x
_atom_site_fract_y
_atom_site_fract_z
Si1 Si 0.000 0.000 0.000
Tc1 Tc 0.000 0.500 0.250
Mo1 Mo 0.000 0.000 0.391
```

B | SiTc2Mo2 | GGA-PBE | relaxed

Results
* V: 16.11 Å³/atom
* DOS(E_F): 0.643 states/eV per atom

The structure in CIF format:
```
data_SiTc2Mo2
_space_group_name_H-M_alt 'P 4/m b m'
_space_group_IT_number 127
_space_group_name_Hall '-P 4 2ab'
_cell_length_a 7.383
_cell_length_b 7.383
_cell_length_c 2.955
_cell_angle_alpha 90.00
_cell_angle_beta 90.00
_cell_angle_gamma 90.00
loop_
_atom_site_label
_atom_site_type_symbol
_atom_site_fract_x
_atom_site_fract_y
_atom_site_fract_z
Si1 Si 0.000 0.000 0.000
Tc1 Tc 0.143 0.357 0.500
Mo1 Mo 0.152 0.652 0.000
```

Relative energy table, unit meV/atom: A 248; B 0

A | SiTc3Mo | GGA-PBE | relaxed

Results
* V: 20.24 Å³/atom
* DOS(E_F): 1.092 states/eV per atom

The structure in CIF format:
```
data_SiTc3Mo
_space_group_name_H-M_alt 'P m -3 m'
_space_group_IT_number 221
_space_group_name_Hall '-P 4 2 3'
_cell_length_a 4.660
_cell_length_b 4.660
_cell_length_c 4.660
_cell_angle_alpha 90.00
_cell_angle_beta 90.00
_cell_angle_gamma 90.00
loop_
_atom_site_label
_atom_site_type_symbol
_atom_site_fract_x
_atom_site_fract_y
_atom_site_fract_z
Si1 Si 0.000 0.000 0.000
Tc1 Tc 0.000 0.500 0.500
Mo1 Mo 0.500 0.500 0.500
```

B | SiTc3Mo | GGA-PBE | relaxed

Results
* V: 16.37 Å³/atom
* DOS(E_F): 0.489 states/eV per atom

The structure in CIF format:
```
data_SiTc3Mo
_space_group_name_H-M_alt 'P m -3 m'
_space_group_IT_number 221
_space_group_name_Hall '-P 4 2 3'
_cell_length_a 4.342
_cell_length_b 4.342
_cell_length_c 4.342
_cell_angle_alpha 90.00
_cell_angle_beta 90.00
_cell_angle_gamma 90.00
loop_
_atom_site_label
_atom_site_type_symbol
_atom_site_fract_x
_atom_site_fract_y
_atom_site_fract_z
Si1 Si 0.000 0.000 0.000
Tc1 Tc 0.000 0.000 0.500
Mo1 Mo 0.500 0.500 0.500
```

Relative energy table, unit meV/atom: A 1020; B 0

A | SiTeMo2 | GGA-PBE | relaxed

Results
* V: 17.28 Å³/atom
* DOS(E_F): 0.933 states/eV per atom

The structure in CIF format:
```
data_SiTeMo2
_space_group_name_H-M_alt 'P m m m'
_space_group_IT_number 47
_cell_length_a 3.279
_cell_length_b 4.134
_cell_length_c 5.100
_cell_angle_alpha 90.00
_cell_angle_beta 90.00
_cell_angle_gamma 90.00
loop_
_space_group_symop_operation_xyz
'x,y,z'
'-x,-y,-z'
'-x,-y,z'
'x,y,-z'
'x,-y,-z'
'-x,y,z'
'-x,y,-z'
'x,-y,z'
loop_
_atom_site_label
_atom_site_type_symbol
_atom_site_fract_x
_atom_site_fract_y
_atom_site_fract_z
Si1 Si 0.000 0.000 0.000
Te1 Te 0.500 0.000 0.500
Mo1 Mo 0.000 0.500 0.500
Mo2 Mo 0.500 0.500 0.000
```

B | SiTeMo2 | GGA-PBE | relaxed

Results
* V: 18.03 Å³/atom
* DOS(E_F): 0.668 states/eV per atom

The structure in CIF format:
```
data_SiTeMo2
_space_group_name_H-M_alt 'R 3 m'
_space_group_IT_number 160
_space_group_name_Hall 'R 3 -2"'
_cell_length_a 3.2035
_cell_length_b 3.2035
_cell_length_c 24.3392
_cell_angle_alpha 90.00
_cell_angle_beta 90.00
_cell_angle_gamma 120.00
loop_
_atom_site_label
_atom_site_type_symbol
_atom_site_fract_x
_atom_site_fract_y
_atom_site_fract_z
Si1 Si 0.0000 0.0000 0.0000
Te1 Te 0.0000 0.0000 0.2371
Mo1 Mo 0.0000 0.0000 0.4871
Mo2 Mo 0.0000 0.0000 0.7369
```

Relative energy table, unit meV/atom: A 241; B 0